[1]
## CuPtAu2 (PBE)

Data for a relaxed structure of CuPtAu2.

Summary:
* energy above the most stable polymorph in this dataset: 35.3 meV per atom
* E: -4.1853 eV/atom
* calculated volume: 64.38 Å³/f.u.
* symmetry: No. 119
* DFT formation energy: -12 meV per atom
* total magnetic moment: 0.0 μB/cell

```
data_CuPtAu2
_symmetry_space_group_name_H-M 'P 1'
_symmetry_Int_Tables_number 1
_symmetry_space_group_name_Hall 'P 1'
_cell_length_a 4.842
_cell_length_b 4.842
_cell_length_c 4.842
_cell_angle_alpha 130.37
_cell_angle_beta 130.37
_cell_angle_gamma 72.82
loop_
_atom_site_label
_atom_site_type_symbol
_atom_site_fract_x
_atom_site_fract_y
_atom_site_fract_z
_atom_site_occupancy
Au1 Au 0.000 0.000 0.000 1
Au2 Au 0.250 0.750 0.500 1
Cu1 Cu 0.500 0.500 0.000 1
Pt1 Pt 0.750 0.250 0.500 1
```

[2]
## HoBeZnCu6 (PBE)

Data for a relaxed structure of HoBeZnCu6.

Summary:
* E: -3.6866 eV/atom
* calculated volume: 131.21 Å³/f.u.
* symmetry: No. 74
* DFT formation energy: 108 meV per atom
* total magnetic moment: 0.0 μB/cell

```
data_HoBeZnCu6
_symmetry_space_group_name_H-M 'P 1'
_symmetry_Int_Tables_number 1
_symmetry_space_group_name_Hall 'P 1'
_cell_length_a 6.226
_cell_length_b 8.205
_cell_length_c 7.274
_cell_angle_alpha 124.33
_cell_angle_beta 115.34
_cell_angle_gamma 90.00
loop_
_atom_site_label
_atom_site_type_symbol
_atom_site_fract_x
_atom_site_fract_y
_atom_site_fract_z
_atom_site_occupancy
Ho1 Ho 0.706 0.456 0.411 1
Ho2 Ho 0.294 0.544 0.589 1
Be1 Be 0.500 0.500 0.000 1
Be2 Be 0.500 0.000 0.000 1
Zn1 Zn 0.500 0.000 0.500 1
Zn2 Zn 0.000 0.000 0.500 1
Cu1 Cu 0.568 0.818 0.136 1
Cu2 Cu 0.007 0.257 0.013 1
Cu3 Cu 0.920 0.119 0.241 1
Cu4 Cu 0.320 0.622 0.241 1
Cu5 Cu 0.320 0.119 0.241 1
Cu6 Cu 0.920 0.622 0.241 1
Cu7 Cu 0.432 0.182 0.864 1
Cu8 Cu 0.993 0.743 0.987 1
Cu9 Cu 0.080 0.881 0.759 1
Cu10 Cu 0.680 0.378 0.759 1
Cu11 Cu 0.680 0.881 0.759 1
Cu12 Cu 0.080 0.378 0.759 1
```

[3]
## CoAsP2 (PBE)

Data for a relaxed structure of CoAsP2.

Summary:
* E: -5.5996 eV/atom
* calculated volume: 63.62 Å³/f.u.
* symmetry: No. 8
* DFT formation energy: 44 meV per atom
* total magnetic moment: 0.0 μB/cell

```
data_CoAsP2
_symmetry_space_group_name_H-M 'P 1'
_symmetry_Int_Tables_number 1
_symmetry_space_group_name_Hall 'P 1'
_cell_length_a 3.960
_cell_length_b 3.960
_cell_length_c 5.305
_cell_angle_alpha 78.96
_cell_angle_beta 78.96
_cell_angle_gamma 51.51
loop_
_atom_site_label
_atom_site_type_symbol
_atom_site_fract_x
_atom_site_fract_y
_atom_site_fract_z
_atom_site_occupancy
As1 As 0.491 0.491 0.562 1
Co1 Co 0.756 0.756 0.847 1
P1 P 0.046 0.046 0.901 1
P2 P 0.208 0.208 0.190 1
```

[4]
## Cs2Ce3Te6 (PBE)

Data for a relaxed structure of Cs2Ce3Te6.

Summary:
* E: -4.8202 eV/atom
* calculated volume: 501.48 Å³/f.u.
* symmetry: No. 12
* total magnetic moment: 2.0 μB/cell

```
data_Cs2Ce3Te6
_symmetry_space_group_name_H-M 'P 1'
_symmetry_Int_Tables_number 1
_symmetry_space_group_name_Hall 'P 1'
_cell_length_a 7.980
_cell_length_b 7.980
_cell_length_c 9.475
_cell_angle_alpha 81.92
_cell_angle_beta 73.68
_cell_angle_gamma 60.00
loop_
_atom_site_label
_atom_site_type_symbol
_atom_site_fract_x
_atom_site_fract_y
_atom_site_fract_z
_atom_site_occupancy
Cs1 Cs 0.167 0.667 0.500 1
Cs2 Cs 0.833 0.333 0.500 1
Ce1 Ce 0.000 0.000 0.000 1
Ce2 Ce 0.333 0.333 0.000 1
Ce3 Ce 0.667 0.667 0.000 1
Te1 Te 0.397 0.667 0.810 1
Te2 Te 0.729 0.000 0.811 1
Te3 Te 0.064 0.333 0.810 1
Te4 Te 0.271 0.000 0.189 1
Te5 Te 0.603 0.333 0.190 1
Te6 Te 0.936 0.667 0.190 1
```

[5]
## Pr2NdDy4Er2 (PBE)

Data for a relaxed structure of Pr2NdDy4Er2.

Summary:
* E: -4.5703 eV/atom
* calculated volume: 296.54 Å³/f.u.
* symmetry: No. 2
* DFT formation energy: 81 meV per atom
* total magnetic moment: 0.0 μB/cell

```
data_Pr2NdDy4Er2
_symmetry_space_group_name_H-M 'P 1'
_symmetry_Int_Tables_number 1
_symmetry_space_group_name_Hall 'P 1'
_cell_length_a 6.860
_cell_length_b 9.932
_cell_length_c 6.650
_cell_angle_alpha 121.14
_cell_angle_beta 126.91
_cell_angle_gamma 59.28
loop_
_atom_site_label
_atom_site_type_symbol
_atom_site_fract_x
_atom_site_fract_y
_atom_site_fract_z
_atom_site_occupancy
Pr1 Pr 0.269 0.657 0.599 1
Pr2 Pr 0.731 0.343 0.401 1
Nd1 Nd 0.000 0.000 0.000 1
Dy1 Dy 0.738 0.884 0.200 1
Dy2 Dy 0.618 0.760 0.507 1
Dy3 Dy 0.262 0.116 0.800 1
Dy4 Dy 0.382 0.240 0.493 1
Er1 Er 0.821 0.446 0.036 1
Er2 Er 0.179 0.554 0.964 1
```

[6]
## Pu2MnC (PBE)

Data for a relaxed structure of Pu2MnC.

Summary:
* energy above the most stable polymorph in this dataset: 0.0 meV per atom
* E: -11.5610 eV/atom
* calculated volume: 66.71 Å³/f.u.
* symmetry: No. 123
* DFT formation energy: 203 meV per atom
* total magnetic moment: 6.8 μB/cell

```
data_Pu2MnC
_symmetry_space_group_name_H-M 'P 1'
_symmetry_Int_Tables_number 1
_symmetry_space_group_name_Hall 'P 1'
_cell_length_a 3.124
_cell_length_b 3.124
_cell_length_c 6.835
_cell_angle_alpha 90.00
_cell_angle_beta 90.00
_cell_angle_gamma 90.00
loop_
_atom_site_label
_atom_site_type_symbol
_atom_site_fract_x
_atom_site_fract_y
_atom_site_fract_z
_atom_site_occupancy
C1 C 0.500 0.500 0.000 1
Mn1 Mn 0.500 0.500 0.500 1
Pu1 Pu 0.000 0.000 0.796 1
Pu2 Pu 0.000 0.000 0.204 1
```

[7]
## Tb2FeHg (PBE)

Data for a relaxed structure of Tb2FeHg.

Summary:
* energy above the most stable polymorph in this dataset: 642.0 meV per atom
* E: -4.0408 eV/atom
* calculated volume: 100.81 Å³/f.u.
* symmetry: No. 166
* DFT formation energy: 465 meV per atom
* total magnetic moment: 2.3 μB/cell

```
data_Tb2FeHg
_symmetry_space_group_name_H-M 'P 1'
_symmetry_Int_Tables_number 1
_symmetry_space_group_name_Hall 'P 1'
_cell_length_a 3.328
_cell_length_b 3.328
_cell_length_c 10.685
_cell_angle_alpha 81.04
_cell_angle_beta 81.04
_cell_angle_gamma 60.00
loop_
_atom_site_label
_atom_site_type_symbol
_atom_site_fract_x
_atom_site_fract_y
_atom_site_fract_z
_atom_site_occupancy
Tb1 Tb 0.085 0.085 0.746 1
Tb2 Tb 0.915 0.915 0.254 1
Hg1 Hg 0.500 0.500 0.500 1
Fe1 Fe 0.000 0.000 0.000 1
```

[8]
## K2ScTe6 (PBE)

Data for a relaxed structure of K2ScTe6.

Summary:
* E: -3.6548 eV/atom
* calculated volume: 357.76 Å³/f.u.
* symmetry: No. 12
* total magnetic moment: 0.0 μB/cell

```
data_K2ScTe6
_symmetry_space_group_name_H-M 'P 1'
_symmetry_Int_Tables_number 1
_symmetry_space_group_name_Hall 'P 1'
_cell_length_a 5.313
_cell_length_b 9.322
_cell_length_c 9.322
_cell_angle_alpha 50.82
_cell_angle_beta 91.31
_cell_angle_gamma 91.31
loop_
_atom_site_label
_atom_site_type_symbol
_atom_site_fract_x
_atom_site_fract_y
_atom_site_fract_z
_atom_site_occupancy
K1 K 0.657 0.680 0.680 1
K2 K 0.343 0.320 0.320 1
Sc1 Sc 0.000 0.000 0.000 1
Te1 Te 0.154 0.349 0.919 1
Te2 Te 0.846 0.081 0.651 1
Te3 Te 0.846 0.651 0.081 1
Te4 Te 0.500 0.214 0.786 1
Te5 Te 0.154 0.919 0.349 1
Te6 Te 0.500 0.786 0.214 1
```

[9]
## TiZn2Sb2 (PBE)

Data for a relaxed structure of TiZn2Sb2.

Summary:
* energy above the most stable polymorph in this dataset: 0.0 meV per atom
* E: -3.6987 eV/atom
* calculated volume: 109.31 Å³/f.u.
* symmetry: No. 139
* total magnetic moment: 0.0 μB/cell

```
data_TiZn2Sb2
_symmetry_space_group_name_H-M 'P 1'
_symmetry_Int_Tables_number 1
_symmetry_space_group_name_Hall 'P 1'
_cell_length_a 3.590
_cell_length_b 3.590
_cell_length_c 8.855
_cell_angle_alpha 78.31
_cell_angle_beta 78.31
_cell_angle_gamma 90.00
loop_
_atom_site_label
_atom_site_type_symbol
_atom_site_fract_x
_atom_site_fract_y
_atom_site_fract_z
_atom_site_occupancy
Sb1 Sb 0.411 0.411 0.179 1
Sb2 Sb 0.589 0.589 0.821 1
Zn1 Zn 0.750 0.250 0.500 1
Zn2 Zn 0.250 0.750 0.500 1
Ti1 Ti 0.000 0.000 0.000 1
```

[10]
## TaCuTeN2 (PBE)

Data for a relaxed structure of TaCuTeN2.

Summary:
* energy above the most stable polymorph in this dataset: 0.0 meV per atom
* E: -6.8096 eV/atom
* calculated volume: 93.58 Å³/f.u.
* symmetry: No. 123
* total magnetic moment: 0.6 μB/cell

```
data_TaCuTeN2
_symmetry_space_group_name_H-M 'P 1'
_symmetry_Int_Tables_number 1
_symmetry_space_group_name_Hall 'P 1'
_cell_length_a 3.964
_cell_length_b 3.964
_cell_length_c 5.955
_cell_angle_alpha 90.00
_cell_angle_beta 90.00
_cell_angle_gamma 90.00
loop_
_atom_site_label
_atom_site_type_symbol
_atom_site_fract_x
_atom_site_fract_y
_atom_site_fract_z
_atom_site_occupancy
N1 N 0.000 0.500 0.000 1
N2 N 0.500 0.000 0.000 1
Te1 Te 0.000 0.000 0.500 1
Cu1 Cu 0.500 0.500 0.500 1
Ta1 Ta 0.000 0.000 0.000 1
```